Computed, not measured: a geometry-optimized BaNaLiHg structure at the PBE level of DFT.

Calculated values
DFT formation energy = -0.167 eV/atom
DOS(E_F) = 12.21 states/eV per cell
total magnetic moment = 0.000 μB/atom
V = 33.42 A^3/atom

a = 8.1164 Å, b = 8.1164 Å, c = 8.1164 Å
α = 90.00°, β = 90.00°, γ = 90.00°
Fractional positions:
Ba 0.0000 0.0000 0.0000
Ba 0.0000 0.5000 0.5000
Ba 0.5000 0.0000 0.5000
Ba 0.5000 0.5000 0.0000
Na 0.0000 0.0000 0.5000
Na 0.0000 0.5000 0.0000
Na 0.5000 0.0000 0.0000
Na 0.5000 0.5000 0.5000
Li 0.2500 0.2500 0.2500
Li 0.2500 0.7500 0.7500
Li 0.7500 0.2500 0.7500
Li 0.7500 0.7500 0.2500
Hg 0.2500 0.2500 0.7500
Hg 0.2500 0.7500 0.2500
Hg 0.7500 0.2500 0.2500
Hg 0.7500 0.7500 0.7500